(1)
A plane-wave DFT calculation with PBE was carried out for an optimized crystal structure of Ga3CoN.

```
Ga3CoN
1.0
4.5239 0.0000 0.0000
0.0000 4.5239 0.0000
0.0000 0.0000 4.5239
Ga Co N
3 1 1
direct
0.0000 0.0000 0.5000
0.0000 0.5000 0.0000
0.5000 0.0000 0.0000
0.0000 0.0000 0.0000
0.5000 0.5000 0.5000
```

## Properties
Total magnetic moment: 2.612 μB per formula unit
Formation energy without anion corrections: 0.771 eV per atom
Crystal system: cubic
Symmetry: Pm-3m
Energy relative to the lowest polymorph listed for this composition: 64 kJ/mol of formula units

***

(2)
A plane-wave DFT calculation with PBE was carried out for an optimized crystal structure of Ga3CoN.

```
Ga3CoN
1.0
4.1584 0.0000 0.0000
0.0000 4.1584 0.0000
0.0000 0.0000 4.1584
Ga Co N
3 1 1
direct
0.0000 0.0000 0.5000
0.0000 0.5000 0.0000
0.5000 0.0000 0.0000
0.5000 0.5000 0.5000
0.0000 0.0000 0.0000
```

## Properties
Total magnetic moment: 1.007 μB per formula unit
Formation energy without anion corrections: 0.638 eV per atom
Crystal system: cubic
Symmetry: Pm-3m
Energy relative to the lowest polymorph listed for this composition: 0 kJ/mol of formula units

***

(3)
A plane-wave DFT calculation with PBE was carried out for an optimized crystal structure of GaCo2N3.

```
GaCo2N3
1.0
2.7188 -4.2335 0.0000
2.7188 4.2335 0.0000
-1.4850 0.0000 11.4456
Ga Co N
4 8 12
direct
0.0113 0.6092 0.8129
0.3908 0.9887 0.6871
0.6092 0.0113 0.3129
0.9887 0.3908 0.1871
0.0608 0.8038 0.0182
0.1962 0.9392 0.4818
0.4205 0.4197 0.3780
0.4197 0.4205 0.8780
0.5803 0.5795 0.1220
0.5795 0.5803 0.6220
0.8038 0.0608 0.5182
0.9392 0.1962 0.9818
0.0282 0.1329 0.3912
0.1329 0.0282 0.8912
0.2795 0.5718 0.0106
0.3595 0.6405 0.7500
0.3678 0.6322 0.2500
0.4282 0.7205 0.4894
0.5718 0.2795 0.5106
0.6322 0.3678 0.7500
0.6405 0.3595 0.2500
0.7205 0.4282 0.9894
0.8671 0.9718 0.1088
0.9718 0.8671 0.6088
```

## Properties
Total magnetic moment: 0.000 μB per formula unit
Formation energy without anion corrections: 0.444 eV per atom
Crystal system: monoclinic
Symmetry: C2/c

***

(4)
A plane-wave DFT calculation with PBE was carried out for an optimized crystal structure of Ga2CoN3.

```
Ga2CoN3
1.0
4.8498 -2.7350 0.0000
4.8498 2.7350 0.0000
0.0000 0.0000 5.1825
Ga Co N
4 2 6
direct
0.9997 0.3336 0.0000
0.0003 0.6664 0.5000
0.3336 0.9997 0.5000
0.6664 0.0003 0.0000
0.3421 0.6579 0.0034
0.6579 0.3421 0.5034
0.0075 0.6627 0.8786
0.3373 0.9925 0.8786
0.3380 0.6620 0.3665
0.6620 0.3380 0.8665
0.6627 0.0075 0.3786
0.9925 0.3373 0.3786
```

## Properties
Total magnetic moment: 2.304 μB per formula unit
Formation energy without anion corrections: -0.029 eV per atom
Crystal system: orthorhombic
Symmetry: Cmc2_1

***

(5)
A plane-wave DFT calculation with PBE was carried out for an optimized crystal structure of Nb2GaCoN.

```
Nb2GaCoN
1.0
4.2594 0.0000 0.0000
0.0000 4.2594 0.0000
0.0000 0.0000 3.8005
Nb Ga Co N
2 1 1 1
direct
0.0000 0.5000 0.0000
0.5000 0.0000 0.0000
0.0000 0.0000 0.5000
0.5000 0.5000 0.5000
0.5000 0.5000 0.0000
```

## Properties
Total magnetic moment: 1.133 μB per formula unit
Formation energy without anion corrections: -0.437 eV per atom
Crystal system: tetragonal
Symmetry: P4/mmm

***

(6)
A plane-wave DFT calculation with PBE was carried out for an optimized crystal structure of GaCoNi2N.

```
GaCoNi2N
1.0
3.7936 0.0000 0.0000
0.0000 3.7936 0.0000
0.0000 0.0000 3.7274
Ga Co Ni N
1 1 2 1
direct
0.0000 0.0000 0.0000
0.5000 0.5000 0.0000
0.0000 0.5000 0.5000
0.5000 0.0000 0.5000
0.5000 0.5000 0.5000
```

## Properties
Total magnetic moment: 1.038 μB per formula unit
Formation energy without anion corrections: -0.123 eV per atom
Crystal system: tetragonal
Symmetry: P4/mmm

***

(7)
A plane-wave DFT calculation with PBE was carried out for an optimized crystal structure of GaCo2NiN.

```
GaCo2NiN
1.0
3.7365 0.0000 0.0000
0.0000 3.7365 0.0000
0.0000 0.0000 3.8040
Ga Co Ni N
1 2 1 1
direct
0.0000 0.0000 0.0000
0.0000 0.5000 0.5000
0.5000 0.0000 0.5000
0.5000 0.5000 0.0000
0.5000 0.5000 0.5000
```

## Properties
Total magnetic moment: 1.509 μB per formula unit
Formation energy without anion corrections: -0.132 eV per atom
Crystal system: tetragonal
Symmetry: P4/mmm